# InGePd4 | Alexandria | GGA-PBE | optimized geometry
# Distance to the lowest polymorph of the same formula = 50 kJ/mol of formula units
# ρ = 10021 kg/m3
# Volume = 16.93 Å³ per atom
# Magnetization = 0.00 μB per formula unit
# Energy of formation = -0.406 eV per atom
# Final energy = -5.093 eV/atom
data_InGePd4
_chemical_formula_sum 'In2 Ge2 Pd8'
_cell_length_a 8.067
_cell_length_b 5.450
_cell_length_c 4.622
_cell_angle_alpha 90.00
_cell_angle_beta 90.45
_cell_angle_gamma 90.00
_symmetry_space_group_name_H-M 'P 1 21/c 1'
_symmetry_Int_Tables_number 14
loop_
_symmetry_equiv_pos_as_xyz
'x,y,z'
'-x,-y,-z'
'-x,y+1/2,-z+1/2'
'x,-y+1/2,z+1/2'
loop_
_atom_site_label
_atom_site_type_symbol
_atom_site_fract_x
_atom_site_fract_y
_atom_site_fract_z
_atom_site_occupancy
In1 In 0.000 0.000 0.000 1
Ge1 Ge 0.500 0.000 0.500 1
Pd1 Pd 0.188 0.088 0.502 1
Pd2 Pd 0.341 0.602 0.504 1